12
Lattice="-3.333 -3.638 -0.677 2.513 -1.175 -4.534 4.620 -5.373 3.537" Properties=species:S:1:pos:R:3 comment="BaAc2IO8 PBE relaxed" raw_formation_energy_ev_per_atom=-1.97 sg="No. 2" pbc="T T T"
O 2.287 -5.555 -1.831
O 1.513 -4.631 0.157
O 1.452 -8.030 1.179
O -0.251 -1.578 -1.023
O 4.051 -8.608 -0.652
O 5.286 -6.100 -1.120
O -1.486 -4.086 -0.554
O 2.348 -2.156 -2.853
Ba 2.310 -2.687 1.769
Ac 3.230 -6.358 0.321
Ac 0.570 -3.828 -1.995
I 0.000 0.000 0.000

***

12
Lattice="6.454 0.000 0.000 -3.227 5.590 0.000 0.000 0.000 7.893" Properties=species:S:1:pos:R:3 comment="BaAcI2O8 PBE relaxed" raw_formation_energy_ev_per_atom=-1.33 sg="No. 164" pbc="T T T"
Ac 0.000 0.000 0.000
O 1.544 0.892 1.742
O 1.683 4.698 6.152
O 0.000 1.783 6.152
O 0.000 3.726 4.154
O 4.910 0.892 1.742
O 3.227 3.806 1.742
O -1.683 4.698 6.152
O 3.227 1.863 3.739
Ba 0.000 0.000 3.947
I 0.000 3.726 5.952
I 3.227 1.863 1.941

***

4
Lattice="-0.864 3.718 2.440 -1.575 -4.023 1.366 8.190 -2.406 2.359" Properties=species:S:1:pos:R:3 comment="BaAcPI PBE relaxed" raw_formation_energy_ev_per_atom=-1.35 sg="No. 160" pbc="T T T"
I 1.449 1.202 3.681
Ba 4.813 -0.340 3.016
Ac -1.058 -3.595 1.691
P 6.107 -3.194 3.617

***

7
Lattice="5.705 0.000 0.000 0.000 5.705 0.000 -2.853 -2.853 8.918" Properties=species:S:1:pos:R:3 comment="Ba2AcP2I2 PBE relaxed" raw_formation_energy_ev_per_atom=-1.26 sg="No. 139" pbc="T T T"
I 0.000 0.000 3.382
I 2.853 2.853 5.537
Ac 0.000 0.000 0.000
P 0.000 2.853 0.000
P 2.853 0.000 0.000
Ba 2.853 2.853 1.983
Ba 0.000 0.000 6.936

***

18
Lattice="8.798 0.000 0.000 -4.399 7.619 0.000 0.000 0.000 15.643" Properties=species:S:1:pos:R:3 comment="RbBaAcI6 PBE relaxed" raw_formation_energy_ev_per_atom=-1.61 sg="No. 163" pbc="T T T"
I 3.198 0.131 2.033
I 1.201 7.488 13.611
I 5.885 4.784 5.789
I 2.687 4.915 9.854
I 1.712 2.704 5.789
I 7.086 2.704 2.033
I 2.914 4.784 2.033
I -2.687 4.915 13.611
I -1.486 2.835 9.854
I 1.486 2.835 13.611
I -1.201 7.488 9.854
I 5.600 0.131 5.789
Ba 4.399 2.540 11.733
Ba 0.000 5.080 3.911
Ac 0.000 5.080 11.733
Ac 4.399 2.540 3.911
Rb 0.000 0.000 7.822
Rb 0.000 0.000 0.000

***

7
Lattice="-2.641 4.043 -3.025 -4.127 0.239 3.923 7.876 4.048 3.901" Properties=species:S:1:pos:R:3 comment="Ba2AcS2I2 PBE relaxed" raw_formation_energy_ev_per_atom=-1.71 sg="No. 139" pbc="T T T"
Ba 3.526 4.859 3.414
Ba -2.419 3.471 1.384
S -1.321 2.022 -1.512
S -2.063 0.119 1.961
I 1.720 2.369 1.665
I -0.612 5.961 3.133
Ac 0.000 0.000 0.000

***

8
Lattice="5.530 0.000 0.000 2.765 4.789 0.000 2.765 1.596 13.729" Properties=species:S:1:pos:R:3 comment="BaAcSbI PBE relaxed" raw_formation_energy_ev_per_atom=-1.15 sg="No. 166" pbc="T T T"
Ba 5.530 3.193 11.055
Ba 5.530 3.193 2.674
Ac 8.295 4.789 8.110
Ac 2.765 1.596 5.619
I 2.765 1.596 1.316
I 8.295 4.789 12.413
Sb 8.295 4.789 4.635
Sb 2.765 1.596 9.094

***

7
Lattice="6.272 0.000 0.000 0.000 6.272 0.000 -3.136 -3.136 8.867" Properties=species:S:1:pos:R:3 comment="Ba2AcSb2I2 PBE relaxed" raw_formation_energy_ev_per_atom=-1.15 sg="No. 139" pbc="T T T"
I 0.000 0.000 3.384
I 3.136 3.136 5.483
Sb 0.000 3.136 0.000
Sb 3.136 0.000 0.000
Ac 0.000 0.000 0.000
Ba 0.000 0.000 6.817
Ba 3.136 3.136 2.050

***

4
Lattice="5.905 0.000 0.000 2.953 5.114 0.000 2.953 1.705 4.822" Properties=species:S:1:pos:R:3 comment="BaAcSbI PBE relaxed" raw_formation_energy_ev_per_atom=-1.10 sg="No. 216" pbc="T T T"
Sb 0.000 0.000 0.000
Ac 8.858 5.114 3.616
I 5.905 3.409 2.411
Ba 2.953 1.705 1.205

***

4
Lattice="-1.936 -0.454 -4.284 -0.249 -3.559 3.095 -5.970 4.603 4.812" Properties=species:S:1:pos:R:3 comment="BaAcSiI PBE relaxed" raw_formation_energy_ev_per_atom=-0.90 sg="No. 160" pbc="T T T"
Ba -4.975 2.304 1.511
I -4.067 -0.154 -1.240
Ac -0.798 -3.132 2.806
Si -6.061 1.967 4.642

***

4
Lattice="-5.834 -0.613 -0.358 -2.317 -5.117 -1.728 -2.840 -3.394 3.866" Properties=species:S:1:pos:R:3 comment="BaAcTeI PBE relaxed" raw_formation_energy_ev_per_atom=-1.23 sg="No. 216" pbc="T T T"
I 0.000 0.000 0.000
Ba -8.243 -6.843 1.335
Te -5.495 -4.562 0.890
Ac -2.748 -2.281 0.445

***

4
Lattice="6.020 0.000 0.000 3.010 5.213 0.000 3.010 1.738 4.915" Properties=species:S:1:pos:R:3 comment="BaAcTlI PBE relaxed" raw_formation_energy_ev_per_atom=-0.59 sg="No. 216" pbc="T T T"
Ac 9.029 5.213 3.686
I 6.020 3.475 2.458
Ba 3.010 1.738 1.229
Tl 0.000 0.000 0.000

***

12
Lattice="5.889 0.000 0.000 0.000 7.910 0.000 0.000 0.000 10.974" Properties=species:S:1:pos:R:3 comment="Ba3AcIn2 PBE relaxed" delta_e_f_ev_per_atom=-0.29 sg="No. 26" pbc="T T T"
Ac 2.945 0.150 4.859
Ac 2.945 4.105 6.114
Ba 0.000 3.785 10.337
Ba 0.000 6.515 7.402
Ba 2.945 1.411 9.047
Ba 0.000 2.560 3.571
Ba 0.000 7.740 0.637
Ba 2.945 5.366 1.927
In 0.000 2.239 7.024
In 2.945 5.676 9.282
In 0.000 6.194 3.950
In 2.945 1.721 1.692

***

7
Lattice="4.016 -0.013 -1.277 -2.504 7.883 -0.993 1.037 -1.578 10.154" Properties=species:S:1:pos:R:3 comment="Ba3Ac2In2 PBE relaxed" delta_e_f_ev_per_atom=-0.18 sg="No. 2" pbc="T T T"
Ba 1.226 0.970 3.832
Ba 1.324 5.321 4.051
Ba 0.000 0.000 0.000
Ac 2.251 3.549 0.089
Ac 0.299 2.743 7.794
In 2.312 0.028 7.197
In 0.237 6.264 0.687

***

6
Lattice="4.154 0.000 0.000 0.000 4.154 0.000 0.000 0.000 12.595" Properties=species:S:1:pos:R:3 comment="BaAc2In3 PBE relaxed" delta_e_f_ev_per_atom=-0.41 sg="No. 123" pbc="T T T"
In 0.000 0.000 3.987
In 0.000 0.000 8.608
In 0.000 0.000 0.000
Ba 2.077 2.077 6.298
Ac 2.077 2.077 10.556
Ac 2.077 2.077 2.039

***

20
Lattice="5.881 0.000 0.000 0.000 7.508 0.000 0.000 0.000 17.928" Properties=species:S:1:pos:R:3 comment="Ba2AcIn2 PBE relaxed" delta_e_f_ev_per_atom=-0.32 sg="No. 62" pbc="T T T"
In 4.411 4.818 9.602
In 1.470 0.508 11.545
In 4.411 3.246 2.581
In 1.470 6.444 0.638
In 4.411 1.064 17.290
In 4.411 7.000 6.383
In 1.470 2.690 8.326
In 1.470 4.262 15.347
Ba 4.411 3.429 6.316
Ba 4.411 2.562 14.014
Ba 1.470 4.080 11.612
Ba 4.411 6.317 12.878
Ba 1.470 4.946 3.914
Ba 4.411 7.183 2.648
Ba 1.470 0.325 15.280
Ba 1.470 1.192 5.050
Ac 1.470 6.345 8.242
Ac 4.411 1.163 9.686
Ac 4.411 4.918 17.206
Ac 1.470 2.591 0.722

***

12
Lattice="-4.677 1.455 -3.600 2.754 -5.364 -5.740 -5.955 -8.571 -0.883" Properties=species:S:1:pos:R:3 comment="Ba5AcIn6 PBE relaxed" delta_e_f_ev_per_atom=-0.40 sg="No. 12" pbc="T T T"
Ba -2.551 -4.063 -3.461
Ba -5.327 -8.417 -6.763
Ba 1.377 -2.682 -2.870
Ba -1.403 -7.051 -6.156
Ba -6.475 -5.429 -4.068
In -4.132 -4.830 -6.840
In -3.746 -7.651 -3.384
In -2.222 -10.615 -6.557
In -5.656 -1.865 -3.667
In -0.169 -3.499 -6.321
In -7.709 -8.982 -3.903
Ac 0.000 0.000 0.000

***

4
Lattice="4.176 0.000 0.000 2.088 3.617 0.000 2.088 1.206 10.572" Properties=species:S:1:pos:R:3 comment="BaAcIn2 PBE relaxed" delta_e_f_ev_per_atom=-0.21 sg="No. 166" pbc="T T T"
In 2.088 1.206 2.559
In 6.264 3.617 8.013
Ac 0.000 0.000 0.000
Ba 4.176 2.411 5.286

***

12
Lattice="5.554 -0.032 1.851 0.043 8.227 0.014 -0.004 -0.016 9.271" Properties=species:S:1:pos:R:3 comment="BaAc5In6 PBE relaxed" delta_e_f_ev_per_atom=-0.41 sg="No. 65" pbc="T T T"
Ba 0.000 0.000 0.000
In 2.788 2.100 0.929
In 4.644 6.108 4.688
In 0.970 6.125 6.455
In 4.622 2.054 4.681
In 2.809 6.095 0.936
In 0.949 2.070 6.448
Ac 1.881 4.097 3.687
Ac 3.712 4.081 7.450
Ac 1.857 -0.016 3.686
Ac 3.692 -0.032 7.436
Ac 0.022 4.114 0.007

***

10
Lattice="-1.782 -3.226 -4.089 -5.496 -4.651 2.360 -8.613 5.779 -4.509" Properties=species:S:1:pos:R:3 comment="Ba2AcIn2 PBE relaxed" delta_e_f_ev_per_atom=-0.29 sg="No. 12" pbc="T T T"
Ac -4.753 -0.679 -4.803
Ac -11.139 -1.420 -1.435
In -10.464 1.409 -7.666
In -5.721 0.610 -1.693
In -5.428 -3.508 1.428
In -10.171 -2.709 -4.546
Ba -12.929 -0.416 -5.152
Ba -2.963 -1.683 -1.086
Ba -7.088 -2.863 -2.062
Ba -8.804 0.764 -4.176